CaAcCuAg (PBE, relaxed); energy of formation = -211 meV per atom; energy relative to the lowest polymorph listed for this composition = 0.000 eV/atom; space-group type = No. 38
1.0
4.211 0.000 0.000
0.000 4.525 0.000
-2.105 0.000 5.930
Ag Cu Ac Ca
1 1 1 1
Direct
0.573 0.500 0.146
0.432 0.000 0.865
0.858 0.500 0.717
0.137 0.000 0.273